This record from Alexandria via LeMat-Bulk describes a geometry-optimized Tm5CoSb2 structure. The functional is PBE-GGA.

POSCAR file:
```
Tm5CoSb2
1.0
-1.448 3.332 -2.379
-0.603 -4.721 -6.246
-11.298 -2.683 3.119
Tm Co Sb
10 2 4
direct
0.000 0.000 0.500 Tm
0.000 0.500 0.000 Tm
0.000 0.858 0.193 Tm
0.000 0.142 0.807 Tm
0.000 0.642 0.693 Tm
0.000 0.358 0.307 Tm
0.500 0.678 0.436 Tm
0.500 0.322 0.564 Tm
0.500 0.822 0.936 Tm
0.500 0.178 0.064 Tm
0.000 0.500 0.500 Co
0.000 0.000 0.000 Co
0.500 0.566 0.174 Sb
0.500 0.434 0.826 Sb
0.500 0.934 0.674 Sb
0.500 0.066 0.326 Sb
```

Calculated values
energy relative to the elements, uncorrected = -0.68 eV per atom
SG = No. 55

This record from Alexandria via LeMat-Bulk describes a geometry-optimized TbBeRu structure. The functional is PBE-GGA.

POSCAR file:
```
TbBeRu
1.0
-3.697 0.955 -0.008
-0.290 -1.151 -3.804
-0.681 -2.613 2.930
Ru Tb Be
1 1 1
direct
0.167 0.333 0.667 Ru
0.667 0.667 0.333 Tb
0.167 0.000 0.000 Be
```

Calculated values
SG = No. 187
ΔE_f = -0.261 eV per atom

This record from Alexandria via LeMat-Bulk describes a geometry-optimized NaAl2SbO6 structure. The functional is PBE-GGA.

POSCAR file:
```
NaAl2SbO6
1.0
-5.932 -0.806 0.830
-0.548 -4.542 5.434
-2.349 6.062 2.861
Na Al Sb O
2 4 2 12
direct
0.250 0.897 0.103 Na
0.750 0.103 0.897 Na
0.328 0.698 0.558 Al
0.172 0.442 0.302 Al
0.672 0.302 0.442 Al
0.828 0.558 0.698 Al
0.250 0.195 0.805 Sb
0.750 0.805 0.195 Sb
0.185 0.945 0.777 O
0.315 0.223 0.055 O
0.815 0.055 0.223 O
0.685 0.777 0.945 O
0.440 0.833 0.378 O
0.060 0.622 0.167 O
0.560 0.167 0.622 O
0.940 0.378 0.833 O
0.041 0.663 0.567 O
0.459 0.433 0.337 O
0.959 0.337 0.433 O
0.541 0.567 0.663 O
```

Calculated values
energy relative to the elements, uncorrected = -2.18 eV per atom
SG = No. 15

This record from Alexandria via LeMat-Bulk describes a geometry-optimized RbNbCd structure. The functional is PBE-GGA.

POSCAR file:
```
RbNbCd
1.0
-7.687 3.176 0.414
-1.760 -4.096 -1.258
-0.580 -2.621 9.347
Nb Rb Cd
4 4 4
direct
0.052 0.250 0.471 Nb
0.448 0.750 0.971 Nb
0.948 0.750 0.529 Nb
0.552 0.250 0.029 Nb
0.051 0.250 0.867 Rb
0.449 0.750 0.367 Rb
0.949 0.750 0.133 Rb
0.551 0.250 0.633 Rb
0.761 0.250 0.312 Cd
0.739 0.750 0.812 Cd
0.239 0.750 0.688 Cd
0.261 0.250 0.188 Cd
```

Calculated values
SG = No. 62
ΔE_f = 0.746 eV per atom

This record from Alexandria via LeMat-Bulk describes a geometry-optimized Ce3SmOs8 structure. The functional is PBE-GGA.

POSCAR file:
```
Ce3SmOs8
1.0
5.168 0.000 1.560
2.348 4.603 1.560
-0.005 -0.003 9.357
Ce Sm Os
3 1 8
direct
0.375 0.375 0.876 Ce
0.000 0.000 0.999 Ce
0.499 0.499 0.502 Ce
0.875 0.875 0.374 Sm
0.937 0.438 0.188 Os
0.437 0.938 0.687 Os
0.438 0.438 0.188 Os
0.938 0.938 0.687 Os
0.188 0.188 0.437 Os
0.688 0.688 0.937 Os
0.438 0.937 0.188 Os
0.938 0.437 0.687 Os
```

Calculated values
SG = No. 160
ΔE_f = -0.220 eV per atom

This record from Alexandria via LeMat-Bulk describes a geometry-optimized Ba6AsPt2I3 structure. The functional is PBE-GGA.

POSCAR file:
```
Ba6AsPt2I3
1.0
-3.457 -1.741 7.226
-1.115 -5.009 -6.392
8.486 -2.163 1.978
Ba As Pt I
6 1 2 3
direct
0.933 0.595 0.799 Ba
0.729 0.729 0.201 Ba
0.067 0.405 0.201 Ba
0.595 0.933 0.799 Ba
0.271 0.271 0.799 Ba
0.405 0.067 0.201 Ba
0.000 0.000 0.000 As
0.333 0.667 0.000 Pt
0.667 0.333 0.000 Pt
0.164 0.836 0.500 I
0.836 0.164 0.500 I
0.500 0.500 0.500 I
```

Calculated values
energy relative to the elements, uncorrected = -1.22 eV per atom
SG = No. 12

This record from Alexandria via LeMat-Bulk describes a geometry-optimized HgGeCl3 structure. The functional is PBE-GGA.

POSCAR file:
```
HgGeCl3
1.0
-0.594 5.023 -0.641
-4.995 -0.476 0.904
0.830 0.733 4.976
Ge Hg Cl
1 1 3
direct
0.000 0.000 0.000 Ge
0.500 0.500 0.500 Hg
0.000 0.500 0.000 Cl
0.000 0.000 0.500 Cl
0.500 0.000 0.000 Cl
```

Calculated values
energy relative to the elements, uncorrected = -0.45 eV per atom
SG = No. 221

So what do the calculations give for calculated density? Going down the list: 9.29, 8.51, 3.63, 5.15, 15.61, 5.58, 4.76 g/cm3.
So what do the calculations give for D(E_F)? Going down the list: 0.46, 0.67, 0.00, 0.68, 0.55, 0.75, 1.35 states/eV/atom.